# 1
First-principles (PBE-GGA) data for CaTeSe after structural relaxation, as listed in Alexandria.

```
data_CaTeSe
_chemical_formula_sum 'Ca1 Te1 Se1'
_cell_length_a 5.106
_cell_length_b 5.106
_cell_length_c 5.106
_cell_angle_alpha 60.00
_cell_angle_beta 60.00
_cell_angle_gamma 60.00
_symmetry_space_group_name_H-M 'P 1'
_symmetry_Int_Tables_number 1
_symmetry_space_group_name_Hall 'P 1'
loop_
_atom_site_label
_atom_site_type_symbol
_atom_site_fract_x
_atom_site_fract_y
_atom_site_fract_z
Ca1 Ca 0.000 0.000 0.000
Te1 Te 0.750 0.750 0.750
Se1 Se 0.250 0.250 0.250
```

Values from the calculation:
The value obtained for the total energy is -11.0 eV for the cell shown. As for the space group: F-43m, No. 216. Its energy relative to the elements, uncorrected is -781.3 meV per atom.


# 2
First-principles (PBE-GGA) data for BaTc2 after structural relaxation, as listed in Alexandria.

```
data_BaTc2
_chemical_formula_sum 'Ba2 Tc4'
_cell_length_a 7.427
_cell_length_b 7.427
_cell_length_c 5.871
_cell_angle_alpha 90.00
_cell_angle_beta 90.00
_cell_angle_gamma 150.87
_symmetry_space_group_name_H-M 'P 1'
_symmetry_Int_Tables_number 1
_symmetry_space_group_name_Hall 'P 1'
loop_
_atom_site_label
_atom_site_type_symbol
_atom_site_fract_x
_atom_site_fract_y
_atom_site_fract_z
Ba1 Ba 0.144 0.856 0.750
Ba2 Ba 0.856 0.144 0.250
Tc1 Tc 0.141 0.859 0.250
Tc2 Tc 0.455 0.545 0.750
Tc3 Tc 0.545 0.455 0.250
Tc4 Tc 0.859 0.141 0.750
```

Values from the calculation:
The value obtained for the total energy is -39.6 eV for the cell shown. As for the space group: Cmcm, No. 63.


# 3
First-principles (PBE-GGA) data for Ti3Cl7O after structural relaxation, as listed in Alexandria.

```
data_Ti3Cl7O
_chemical_formula_sum 'Ti3 Cl7 O1'
_cell_length_a 6.862
_cell_length_b 6.862
_cell_length_c 6.522
_cell_angle_alpha 90.00
_cell_angle_beta 90.00
_cell_angle_gamma 120.00
_symmetry_space_group_name_H-M 'P 1'
_symmetry_Int_Tables_number 1
_symmetry_space_group_name_Hall 'P 1'
loop_
_atom_site_label
_atom_site_type_symbol
_atom_site_fract_x
_atom_site_fract_y
_atom_site_fract_z
Ti1 Ti 0.036 0.518 0.000
Ti2 Ti 0.482 0.518 0.000
Ti3 Ti 0.482 0.964 0.000
Cl1 Cl 0.170 0.340 0.234
Cl2 Cl 0.170 0.830 0.234
Cl3 Cl 0.338 0.169 0.800
Cl4 Cl 0.660 0.830 0.234
Cl5 Cl 0.667 0.333 0.213
Cl6 Cl 0.831 0.169 0.800
Cl7 Cl 0.831 0.662 0.800
O1 O 0.333 0.667 0.868
```

Values from the calculation:
The value obtained for the total energy is -60.8 eV for the cell shown. As for the space group: P3m1, No. 156. Its energy relative to the elements, uncorrected is -1743.7 meV per atom.


# 4
First-principles (PBE-GGA) data for Al4FeRh5 after structural relaxation, as listed in Alexandria.

```
data_Al4FeRh5
_chemical_formula_sum 'Al4 Fe1 Rh5'
_cell_length_a 2.989
_cell_length_b 2.989
_cell_length_c 15.152
_cell_angle_alpha 90.00
_cell_angle_beta 90.00
_cell_angle_gamma 90.00
_symmetry_space_group_name_H-M 'P 1'
_symmetry_Int_Tables_number 1
_symmetry_space_group_name_Hall 'P 1'
loop_
_atom_site_label
_atom_site_type_symbol
_atom_site_fract_x
_atom_site_fract_y
_atom_site_fract_z
Al1 Al 0.000 0.000 0.100
Al2 Al 0.000 0.000 0.301
Al3 Al 0.000 0.000 0.699
Al4 Al 0.000 0.000 0.900
Fe1 Fe 0.000 0.000 0.500
Rh1 Rh 0.500 0.500 0.000
Rh2 Rh 0.500 0.500 0.198
Rh3 Rh 0.500 0.500 0.396
Rh4 Rh 0.500 0.500 0.604
Rh5 Rh 0.500 0.500 0.802
```

Values from the calculation:
The value obtained for the total energy is -69.1 eV for the cell shown. As for the space group: P4/mmm, No. 123.


Listing total moment for the structures above in their given order: 0.000; 0.000; 0.274; 0.399 μB per atom.